{
  "formula": "Ca4SnBiH",
  "functional": "PBE-GGA",
  "state": "relaxed",
  "spacegroup": "Cmcm (63)",
  "density_g_cm3": 4.17,
  "e_tot_ev_per_cell": -48.5,
  "cell": [[3.379, -8.568, 0.000], [3.379, 8.568, 0.000], [0.000, 0.000, 6.728]],
  "species": ["Ca", "Ca", "Ca", "Ca", "Ca", "Ca", "Ca", "Ca", "Sn", "Sn", "Bi", "Bi", "H", "H"],
  "frac_coords": [[0.000, 0.500, 0.000], [0.000, 0.500, 0.500], [0.067, 0.933, 0.750], [0.422, 0.578, 0.750], [0.500, 0.000, 0.000], [0.500, 0.000, 0.500], [0.578, 0.422, 0.250], [0.933, 0.067, 0.250], [0.120, 0.880, 0.250], [0.880, 0.120, 0.750], [0.386, 0.614, 0.250], [0.614, 0.386, 0.750], [0.267, 0.733, 0.750], [0.733, 0.267, 0.250]]
}